Below is an optimized crystal structure of Tl8CdBi2, with properties calculated at the PBE-GGA level.

The structure belongs to space group C2/m (No. 12); the cell edges are 17.745, 5.109 and 7.757 Å and the angles 90.00°, 105.42° and 90.00°. The inequivalent atoms are Tl at (0.049, 0.000, 0.229), Tl at (0.088, 0.500, 0.945), Tl at (0.133, 0.000, 0.679), Tl at (0.181, 0.500, 0.411), Cd at (0.000, 0.500, 0.500) and Bi at (0.228, 0.000, 0.127).

Its polymorph energy (0 for the lowest one) is 0.0000 eV per atom. Its total magnetization is 0.0 μB/f.u.